Record 1
# Tb3Er2Sc5, relaxed, DFT PBE
data_Tb3Er2Sc5
_chemical_formula_sum 'Tb6 Er4 Sc10'
_cell_length_a 7.591
_cell_length_b 8.985
_cell_length_c 8.995
_cell_angle_alpha 85.77
_cell_angle_beta 90.00
_cell_angle_gamma 65.23
_symmetry_space_group_name_H-M 'P 1'
_symmetry_Int_Tables_number 1
loop_
_symmetry_equiv_pos_as_xyz
'x,y,z'
loop_
_atom_site_label
_atom_site_type_symbol
_atom_site_fract_x
_atom_site_fract_y
_atom_site_fract_z
_atom_site_occupancy
Tb1 Tb 0.120 0.252 0.378 1
Tb2 Tb 0.269 0.150 0.025 1
Tb3 Tb 0.369 0.748 0.128 1
Tb4 Tb 0.631 0.252 0.872 1
Tb5 Tb 0.731 0.850 0.975 1
Tb6 Tb 0.880 0.748 0.622 1
Er1 Er 0.181 0.549 0.923 1
Er2 Er 0.422 0.052 0.674 1
Er3 Er 0.578 0.948 0.326 1
Er4 Er 0.819 0.451 0.077 1
Sc1 Sc 0.028 0.647 0.279 1
Sc2 Sc 0.075 0.952 0.819 1
Sc3 Sc 0.225 0.846 0.476 1
Sc4 Sc 0.329 0.453 0.570 1
Sc5 Sc 0.478 0.349 0.232 1
Sc6 Sc 0.522 0.651 0.768 1
Sc7 Sc 0.671 0.547 0.430 1
Sc8 Sc 0.775 0.154 0.524 1
Sc9 Sc 0.925 0.048 0.181 1
Sc10 Sc 0.972 0.353 0.721 1
# Formation enthalpy at 0 K, eV per formula unit: 0.55


Record 2
# Ga2Hg4SbBr5, relaxed, DFT PBE
data_Ga2Hg4SbBr5
_chemical_formula_sum 'Ga2 Hg4 Sb1 Br5'
_cell_length_a 8.064
_cell_length_b 7.931
_cell_length_c 7.931
_cell_angle_alpha 127.08
_cell_angle_beta 90.00
_cell_angle_gamma 90.00
_symmetry_space_group_name_H-M 'P 1'
_symmetry_Int_Tables_number 1
loop_
_symmetry_equiv_pos_as_xyz
'x,y,z'
loop_
_atom_site_label
_atom_site_type_symbol
_atom_site_fract_x
_atom_site_fract_y
_atom_site_fract_z
_atom_site_occupancy
Ga1 Ga 0.000 0.194 0.806 1
Ga2 Ga 0.000 0.806 0.194 1
Hg1 Hg 0.170 0.469 0.469 1
Hg2 Hg 0.500 0.147 0.893 1
Hg3 Hg 0.500 0.893 0.147 1
Hg4 Hg 0.830 0.469 0.469 1
Sb1 Sb 0.500 0.312 0.312 1
Br1 Br 0.000 0.019 0.019 1
Br2 Br 0.274 0.558 0.921 1
Br3 Br 0.274 0.921 0.558 1
Br4 Br 0.726 0.558 0.921 1
Br5 Br 0.726 0.921 0.558 1
# E_form (uncorrected), meV/atom: -324


Record 3
# BaRe2RuAu, relaxed, DFT PBE
data_BaRe2RuAu
_chemical_formula_sum 'Ba1 Re2 Ru1 Au1'
_cell_length_a 5.082
_cell_length_b 5.082
_cell_length_c 5.074
_cell_angle_alpha 90.00
_cell_angle_beta 90.00
_cell_angle_gamma 90.00
_symmetry_space_group_name_H-M 'P 1'
_symmetry_Int_Tables_number 1
loop_
_symmetry_equiv_pos_as_xyz
'x,y,z'
loop_
_atom_site_label
_atom_site_type_symbol
_atom_site_fract_x
_atom_site_fract_y
_atom_site_fract_z
_atom_site_occupancy
Ba1 Ba 0.000 0.000 0.000 1
Re1 Re 0.000 0.500 0.500 1
Re2 Re 0.500 0.000 0.500 1
Ru1 Ru 0.500 0.500 0.000 1
Au1 Au 0.500 0.500 0.500 1
# Formation enthalpy at 0 K, eV per formula unit: 10.47